Below is a geometry-optimized Na2TiCoF8 structure, with properties calculated at the PBE+U level.

Cell: 5.0360 5.0530 6.5324 Å, 89.91 89.91 86.79°
Last column: nearest neighbours and their distance in Å.
Space group P-1 (No. 2)
Unique sites:
Na 0.0002 0.0002 0.2432 x2  6 F 2.23-2.40
Ti 0.5000 0.5000 0.5000 x1  6 F 1.88-1.91
Co 0.5000 0.5000 0.0000 x1  2 F 1.90
F 0.2272 0.7742 0.0000 x2  1 Co 1.90
F 0.2299 0.7712 0.5000 x2  1 Ti 1.88
F 0.3240 0.3257 0.2837 x2  1 Ti 1.91
F 0.3239 0.3257 0.7170 x2  1 Ti 1.91

Values from the calculation:
Magnetic moment in μB/atom: 0.25
Calculated volume in Å³ per atom: 13.8
Electronic total energy in eV per atom: -5.438